DFT (SCAN) results for TaMnCl2 at its PBEsol-relaxed geometry.

- SG: P4/mmm
- Final energy: -24.797 eV per atom
- Energy above the most stable polymorph in this dataset: 961 meV per atom
- V: 14.9 A^3/atom
- M_tot: 0.99 μB/atom

Cell: 3.015 4.441 4.441 Å, 90.00 90.00 90.00°
Sites, in units of the cell vectors:
1 Cl 0.000 0.000 0.500
2 Cl 0.000 0.500 0.000
3 Mn 0.500 0.500 0.500
4 Ta 0.500 0.000 0.000

DFT (SCAN) results for TaMnCl2 at its PBEsol-relaxed geometry.

- SG: P4mm
- Final energy: -25.758 eV per atom
- Energy above the most stable polymorph in this dataset: 0 meV per atom
- V: 17.7 A^3/atom
- M_tot: 0.89 μB/atom

Cell: 2.965 2.965 8.058 Å, 90.00 90.00 90.00°
Sites, in units of the cell vectors:
1 Cl 0.500 0.500 0.318
2 Cl 0.000 0.000 0.941
3 Mn 0.000 0.000 0.501
4 Ta 0.500 0.500 0.739

DFT (SCAN) results for TaMnCl2 at its PBEsol-relaxed geometry.

- SG: Immm
- Final energy: -25.611 eV per atom
- Energy above the most stable polymorph in this dataset: 148 meV per atom
- V: 21.6 A^3/atom
- M_tot: 0.89 μB/atom

Cell: 3.051 4.329 7.047 Å, 107.89 102.50 90.00°
Sites, in units of the cell vectors:
1 Cl 0.151 0.151 0.302
2 Cl 0.849 0.849 0.698
3 Ta 0.500 0.000 0.000
4 Mn 0.000 0.500 0.000

DFT (SCAN) results for MnTcCl3 at its PBEsol-relaxed geometry.

- SG: Pm-3m
- Final energy: -15.592 eV per atom
- V: 21.5 A^3/atom
- M_tot: 1.69 μB/atom

Cell: 4.757 4.757 4.757 Å, 90.00 90.00 90.00°
Sites, in units of the cell vectors:
1 Cl 0.000 0.500 0.000
2 Cl 0.500 0.000 0.000
3 Cl 0.000 0.000 0.500
4 Mn 0.500 0.500 0.500
5 Tc 0.000 0.000 0.000

DFT (SCAN) results for MnTc2Cl at its PBEsol-relaxed geometry.

- SG: F-43m
- Final energy: -23.283 eV per atom
- V: 13.9 A^3/atom
- M_tot: 0.85 μB/atom

Cell: 4.283 4.283 4.283 Å, 60.00 60.00 60.00°
Sites, in units of the cell vectors:
1 Cl 0.500 0.500 0.500
2 Tc 0.750 0.750 0.750
3 Tc 0.000 0.000 0.000
4 Mn 0.250 0.250 0.250

DFT (SCAN) results for Mn3TeCl at its PBEsol-relaxed geometry.

- SG: Pm-3m
- Final energy: -19.732 eV per atom
- V: 17.6 A^3/atom
- M_tot: 2.41 μB/atom

Cell: 4.444 4.444 4.444 Å, 90.00 90.00 90.00°
Sites, in units of the cell vectors:
1 Mn 0.000 0.500 0.000
2 Mn 0.500 0.000 0.000
3 Mn 0.000 0.000 0.500
4 Te 0.500 0.500 0.500
5 Cl 0.000 0.000 0.000

DFT (SCAN) results for MnTe2Cl at its PBEsol-relaxed geometry.

- SG: Amm2
- Final energy: -25.741 eV per atom
- Energy above the most stable polymorph in this dataset: 0 meV per atom
- V: 29.6 A^3/atom
- M_tot: 1.01 μB/atom

Cell: 3.651 6.988 6.990 Å, 138.42 90.00 90.00°
Sites, in units of the cell vectors:
1 Te 0.500 0.684 0.316
2 Te 0.000 0.132 0.868
3 Cl 0.000 0.400 0.600
4 Mn 0.500 0.284 0.716

DFT (SCAN) results for MnTe2Cl at its PBEsol-relaxed geometry.

- SG: Cmm2
- Final energy: -25.553 eV per atom
- Energy above the most stable polymorph in this dataset: 188 meV per atom
- V: 24.5 A^3/atom
- M_tot: 1.07 μB/atom

Cell: 3.195 3.195 10.186 Å, 90.00 90.00 109.74°
Sites, in units of the cell vectors:
1 Te 0.500 0.500 0.754
2 Te 0.000 0.000 0.070
3 Cl 0.000 0.000 0.412
4 Mn 0.500 0.500 0.263

DFT (SCAN) results for MnTeCl3 at its PBEsol-relaxed geometry.

- SG: Pm-3m
- Final energy: -16.568 eV per atom
- V: 24.0 A^3/atom
- M_tot: 1.57 μB/atom

Cell: 4.932 4.932 4.932 Å, 90.00 90.00 90.00°
Sites, in units of the cell vectors:
1 Te 0.500 0.500 0.500
2 Cl 0.000 0.500 0.000
3 Cl 0.000 0.000 0.500
4 Cl 0.500 0.000 0.000
5 Mn 0.000 0.000 0.000

DFT (SCAN) results for MnTe2Cl at its PBEsol-relaxed geometry.

- SG: R-3m
- Final energy: -25.603 eV per atom
- Energy above the most stable polymorph in this dataset: 138 meV per atom
- V: 23.0 A^3/atom
- M_tot: 0.68 μB/atom

Cell: 3.738 3.738 7.909 Å, 76.33 76.33 60.00°
Sites, in units of the cell vectors:
1 Te 0.732 0.732 0.805
2 Te 0.268 0.268 0.195
3 Cl 0.500 0.500 0.500
4 Mn 0.000 0.000 0.000

DFT (SCAN) results for Ti3MnCl at its PBEsol-relaxed geometry.

- SG: Pm-3m
- Final energy: -14.409 eV per atom
- V: 18.2 A^3/atom
- M_tot: 0.00 μB/atom

Cell: 4.499 4.499 4.499 Å, 90.00 90.00 90.00°
Sites, in units of the cell vectors:
1 Cl 0.500 0.500 0.500
2 Ti 0.000 0.000 0.500
3 Ti 0.000 0.500 0.000
4 Ti 0.500 0.000 0.000
5 Mn 0.000 0.000 0.000

DFT (SCAN) results for MnTlCl2 at its PBEsol-relaxed geometry.

- SG: Fm-3m
- Final energy: -27.198 eV per atom
- Energy above the most stable polymorph in this dataset: 0 meV per atom
- V: 22.2 A^3/atom
- M_tot: 1.49 μB/atom

Cell: 5.010 5.010 5.010 Å, 60.00 60.00 60.00°
Sites, in units of the cell vectors:
1 Mn 0.000 0.000 0.000
2 Cl 0.250 0.250 0.250
3 Cl 0.750 0.750 0.750
4 Tl 0.500 0.500 0.500

Number 1: uncorrected formation energy 0.40 eV/atom. Number 2: uncorrected formation energy -0.56 eV/atom. Number 3: uncorrected formation energy -0.41 eV/atom. Number 4: uncorrected formation energy -0.14 eV/atom. Number 5: uncorrected formation energy 0.80 eV/atom. Number 6: uncorrected formation energy 0.27 eV/atom. Number 7: uncorrected formation energy -0.56 eV/atom. Number 8: uncorrected formation energy -0.37 eV/atom. Number 9: uncorrected formation energy -0.68 eV/atom. Number 10: uncorrected formation energy -0.42 eV/atom. Number 11: uncorrected formation energy 0.46 eV/atom. Number 12: uncorrected formation energy -0.56 eV/atom.